[1]
DFT (PBE-GGA) results for an optimized crystal structure of KRbTeAu2.

Its space-group type is P4/mmm. For the energy relative to the elements, uncorrected, the calculation gives 0.562 eV/atom.

Cell lengths 5.856, 5.856, 6.195 Å; angles 90.00, 90.00, 90.00 degrees
Atoms (fractional coordinates):
K 0.000 0.000 0.000
Rb 0.000 0.000 0.500
Te 0.500 0.500 0.000
Au 0.000 0.500 0.500
Au 0.500 0.000 0.500

[2]
DFT (PBE-GGA) results for an optimized crystal structure of KRbTe2Au.

Its space-group type is Cmme. For the energy above the most stable polymorph in this dataset, the calculation gives 0.000 eV/atom. For the energy relative to the elements, uncorrected, the calculation gives -0.581 eV/atom.

Cell lengths 9.684, 9.684, 6.026 Å; angles 90.00, 90.00, 132.48 degrees
Atoms (fractional coordinates):
K 0.250 0.250 0.000
K 0.750 0.750 0.000
Rb 0.250 0.750 0.796
Rb 0.750 0.250 0.204
Te 0.132 0.868 0.315
Te 0.368 0.632 0.315
Te 0.632 0.368 0.685
Te 0.868 0.132 0.685
Au 0.000 0.000 0.500
Au 0.500 0.500 0.500

[3]
DFT (PBE-GGA) results for an optimized crystal structure of KRbTe2Au.

Its space-group type is P4/mmm. For the energy above the most stable polymorph in this dataset, the calculation gives 1.119 eV/atom. For the energy relative to the elements, uncorrected, the calculation gives 0.538 eV/atom.

Cell lengths 6.389, 6.389, 6.226 Å; angles 90.00, 90.00, 90.00 degrees
Atoms (fractional coordinates):
K 0.000 0.000 0.000
Rb 0.000 0.000 0.500
Te 0.000 0.500 0.500
Te 0.500 0.000 0.500
Au 0.500 0.500 0.000

[4]
DFT (PBE-GGA) results for an optimized crystal structure of K2RbTlAu2.

Its space-group type is Pmc2_1. The energy of formation from the pure elements is -0.224 eV per atom.

Cell lengths 4.795, 9.793, 9.300 Å; angles 90.00, 90.00, 90.00 degrees
Atoms (fractional coordinates):
K 0.000 0.086 0.000
K 0.000 0.914 0.500
K 0.500 0.187 0.334
K 0.500 0.813 0.834
Rb 0.500 0.439 0.937
Rb 0.500 0.561 0.437
Tl 0.000 0.292 0.630
Tl 0.000 0.708 0.130
Au 0.000 0.403 0.209
Au 0.000 0.597 0.709
Au 0.500 0.136 0.706
Au 0.500 0.864 0.206

[5]
DFT (PBE-GGA) results for an optimized crystal structure of K2Rb6TlAu.

Its space-group type is Cm. The energy of formation from the pure elements is -0.041 eV per atom.

Cell lengths 10.038, 10.038, 10.015 Å; angles 119.91, 119.91, 90.03 degrees
Atoms (fractional coordinates):
K 0.248 0.752 0.000
K 0.752 0.248 0.000
Rb 0.256 0.256 0.010
Rb 0.256 0.742 0.497
Rb 0.257 0.257 0.498
Rb 0.740 0.740 0.981
Rb 0.742 0.256 0.497
Rb 0.742 0.742 0.496
Tl 0.999 0.999 0.495
Au 0.499 0.499 0.496

[6]
DFT (PBE-GGA) results for an optimized crystal structure of K2RbTl2Au2.

Its space-group type is R-3m. The energy of formation from the pure elements is -0.166 eV per atom.

Cell lengths 12.511, 12.511, 12.511 Å; angles 23.49, 23.49, 23.49 degrees
Atoms (fractional coordinates):
K 0.123 0.123 0.123
K 0.877 0.877 0.877
Rb 0.000 0.000 0.000
Tl 0.266 0.266 0.266
Tl 0.734 0.734 0.734
Au 0.404 0.404 0.404
Au 0.596 0.596 0.596

[7]
DFT (PBE-GGA) results for an optimized crystal structure of K5Rb2TlAu2.

Its space-group type is P4/mbm. The energy of formation from the pure elements is -0.124 eV per atom.

Cell lengths 14.297, 14.297, 4.663 Å; angles 90.00, 90.00, 90.00 degrees
Atoms (fractional coordinates):
K 0.000 0.500 0.000
K 0.062 0.208 0.000
K 0.208 0.938 0.000
K 0.292 0.438 0.000
K 0.438 0.708 0.000
K 0.500 0.000 0.000
K 0.562 0.292 0.000
K 0.708 0.562 0.000
K 0.792 0.062 0.000
K 0.938 0.792 0.000
Rb 0.184 0.684 0.500
Rb 0.316 0.184 0.500
Rb 0.684 0.816 0.500
Rb 0.816 0.316 0.500
Tl 0.000 0.000 0.500
Tl 0.500 0.500 0.500
Au 0.123 0.377 0.500
Au 0.377 0.877 0.500
Au 0.623 0.123 0.500
Au 0.877 0.623 0.500

[8]
DFT (PBE-GGA) results for an optimized crystal structure of K2Rb4TlAu2.

Its space-group type is P-1. The energy of formation from the pure elements is -0.133 eV per atom.

Cell lengths 6.839, 8.302, 9.650 Å; angles 84.90, 73.51, 77.03 degrees
Atoms (fractional coordinates):
K 0.056 0.359 0.208
K 0.944 0.641 0.792
Rb 0.269 0.818 0.104
Rb 0.432 0.260 0.520
Rb 0.568 0.740 0.480
Rb 0.731 0.182 0.896
Tl 0.000 0.000 0.500
Au 0.100 0.639 0.441
Au 0.900 0.361 0.559

Number 1: E -9.0 eV per cell, magnetization 0.000 μB per cell. Number 2: E -29.1 eV per cell, magnetization 0.000 μB per cell. Number 3: E -8.9 eV per cell, magnetization 0.000 μB per cell. Number 4: E -26.9 eV per cell, magnetization 0.000 μB per cell. Number 5: E -14.1 eV per cell, magnetization 0.000 μB per cell. Number 6: E -15.6 eV per cell, magnetization 0.000 μB per cell. Number 7: E -35.2 eV per cell, magnetization 0.000 μB per cell. Number 8: E -16.2 eV per cell, magnetization 0.000 μB per cell.